KRb2ZnSb2: optimized geometry, GGA-PBE.

Results
Its total moment is 0.000 Bohr magnetons per cell. Its density of states at the Fermi level is 12.4 states/eV per cell. The calculation puts the total energy at -2.40 eV per atom. The calculation puts the formation energy without anion corrections at -310 meV per atom.

abc: 8.759 7.329 9.570
angles: 112.51 117.24 90.00
Sites, in units of the cell vectors:
K1 0.000 0.750 0.000
K2 0.000 0.250 0.000
Rb1 0.477 0.174 0.348
Rb2 0.523 0.826 0.652
Rb3 0.129 0.326 0.652
Rb4 0.871 0.674 0.348
Zn1 0.500 0.750 0.000
Zn2 0.500 0.250 0.000
Sb1 0.772 0.086 0.172
Sb2 0.400 0.586 0.172
Sb3 0.600 0.414 0.828
Sb4 0.228 0.914 0.828